# MgNi2RuO6, optimized geometry, DFT PBE+U
# electronic total energy = -54.51 eV for the cell shown
data_MgNi2RuO6
_chemical_formula_sum 'Mg1 Ni2 Ru1 O6'
_space_group_name_H-M_alt 'P 4 m m'
_space_group_IT_number 99
_space_group_name_Hall 'P 4 -2'
_cell_length_a 5.260
_cell_length_b 5.260
_cell_length_c 4.670
_cell_angle_alpha 90.00
_cell_angle_beta 90.00
_cell_angle_gamma 90.00
loop_
_atom_site_label
_atom_site_type_symbol
_atom_site_fract_x
_atom_site_fract_y
_atom_site_fract_z
Mg1 Mg 0.000 0.000 0.000
Ni1 Ni 0.000 0.500 0.343
Ru1 Ru 0.500 0.500 0.004
O1 O 0.000 0.000 0.582
O2 O 0.263 0.263 0.170
O3 O 0.500 0.500 0.644